# TlRu2Br GGA-PBE optimized geometry
# distance to the lowest polymorph of the same formula	0.185	eV per atom
# formation energy without anion corrections	0.577	eV per atom
# calculated volume	20.3	Å³ per atom
data_TlRu2Br
_cell_length_a 3.045
_cell_length_b 3.045
_cell_length_c 30.395
_cell_angle_alpha 90.00
_cell_angle_beta 90.00
_cell_angle_gamma 120.00
_symmetry_space_group_name_H-M 'P 1'
_symmetry_Int_Tables_number 1
loop_
_symmetry_equiv_pos_as_xyz
'x,y,z'
loop_
_atom_site_label
_atom_site_type_symbol
_atom_site_fract_x
_atom_site_fract_y
_atom_site_fract_z
Tl1 Tl 0.000 0.000 0.000
Tl2 Tl 0.333 0.667 0.667
Tl3 Tl 0.667 0.333 0.333
Ru1 Ru 0.000 0.000 0.252
Ru2 Ru 0.000 0.000 0.521
Ru3 Ru 0.333 0.667 0.188
Ru4 Ru 0.333 0.667 0.918
Ru5 Ru 0.667 0.333 0.585
Ru6 Ru 0.667 0.333 0.855
Br1 Br 0.000 0.000 0.789
Br2 Br 0.333 0.667 0.455
Br3 Br 0.667 0.333 0.122

# TlRuBr2 GGA-PBE optimized geometry
# distance to the lowest polymorph of the same formula	0.347	eV per atom
# formation energy without anion corrections	0.274	eV per atom
# calculated volume	25.5	Å³ per atom
data_TlRuBr2
_cell_length_a 3.211
_cell_length_b 4.532
_cell_length_c 14.008
_cell_angle_alpha 90.00
_cell_angle_beta 90.00
_cell_angle_gamma 90.00
_symmetry_space_group_name_H-M 'P 1'
_symmetry_Int_Tables_number 1
loop_
_symmetry_equiv_pos_as_xyz
'x,y,z'
loop_
_atom_site_label
_atom_site_type_symbol
_atom_site_fract_x
_atom_site_fract_y
_atom_site_fract_z
Tl1 Tl 0.000 0.000 0.000
Tl2 Tl 0.500 0.500 0.500
Ru1 Ru 0.000 0.500 0.306
Ru2 Ru 0.500 0.000 0.806
Br1 Br 0.000 0.000 0.661
Br2 Br 0.000 0.500 0.835
Br3 Br 0.500 0.000 0.335
Br4 Br 0.500 0.500 0.161